1.
Below is crystalline Tm2Mn2Se2S3 at its relaxed geometry, with properties calculated at the PBE-GGA level.

Calculated values
raw formation energy: -1035 meV/atom

```
Tm2Mn2Se2S3
1.0
4.639 0.000 0.000
0.000 4.639 0.000
-2.319 -2.319 8.893
Mn Se S Tm
2 2 3 2
Cartesian
0.000 2.319 0.000 Mn
2.319 0.000 0.000 Mn
2.319 2.319 1.713 Se
0.000 0.000 7.181 Se
0.000 2.319 4.447 S
2.319 0.000 4.447 S
0.000 0.000 0.000 S
2.319 2.319 5.764 Tm
0.000 0.000 3.130 Tm
```

***

2.
Below is crystalline MnW2Se2S4 at its relaxed geometry, with properties calculated at the PBE-GGA level.

Calculated values
raw formation energy: -658 meV/atom

```
MnW2Se2S4
1.0
-2.082 -1.906 1.516
0.828 -0.624 -3.031
16.207 -12.185 6.933
S W Se Mn
4 2 2 1
Cartesian
13.564 -12.511 6.279 S
11.769 -8.848 5.035 S
-0.272 -2.110 0.360 S
9.397 -7.065 4.020 S
15.861 -11.925 6.785 W
9.471 -9.435 4.528 W
5.359 -6.343 2.769 Se
3.029 -4.592 1.772 Se
5.306 -3.989 2.270 Mn
```

***

3.
Below is crystalline MnZnSeS at its relaxed geometry, with properties calculated at the PBE-GGA level.

Calculated values
raw formation energy: -608 meV/atom

```
MnZnSeS
1.0
-0.828 -1.076 -3.789
0.603 -2.822 2.806
-6.022 1.676 2.977
Zn S Se Mn
1 1 1 1
Cartesian
-3.671 0.146 0.263 Zn
-0.763 -2.683 2.571 S
-4.042 -0.434 2.647 Se
-0.510 -2.104 0.214 Mn
```

***

4.
Below is crystalline MnSiS2 at its relaxed geometry, with properties calculated at the PBE-GGA level.

Calculated values
raw formation energy: -149 meV/atom

```
MnSiS2
1.0
1.864 0.000 7.660
-0.932 1.614 7.660
-0.932 -1.614 7.660
S Si Mn
2 1 1
Cartesian
0.000 0.000 20.494 S
0.000 0.000 2.487 S
0.000 0.000 0.000 Si
0.000 0.000 11.490 Mn
```

***

What is the formula in the second record?
MnW2Se2S4